No. 1
Entry from the Alexandria database: a relaxed Nd4Cd2Ru crystal (PBE-GGA).

POSCAR file:
```
Nd4Cd2Ru
1.0
3.749 0.000 0.000
0.000 8.976 -1.398
0.000 -5.750 7.343
Nd Cd Ru
4 2 1
Direct
0.500 0.883 0.746 Nd
0.000 0.704 0.968 Nd
0.000 0.439 0.175 Nd
0.500 0.260 0.397 Nd
0.500 0.286 0.785 Cd
0.500 0.857 0.358 Cd
0.000 0.071 0.071 Ru
```

Calculated values
Calculated total energy (eV per atom): -4.447
Total moment (μB/f.u.): 0.00
Formation energy (eV/atom): -0.14
Volume (Å³/atom): 31.0

***

No. 2
Entry from the Alexandria database: a relaxed FeSiOsW crystal (PBE-GGA).

POSCAR file:
```
FeSiOsW
1.0
4.232 0.000 0.000
2.116 3.665 0.000
2.116 1.222 3.455
W Fe Os Si
1 1 1 1
Direct
0.500 0.500 0.500 W
0.750 0.750 0.750 Fe
0.000 0.000 0.000 Os
0.250 0.250 0.250 Si
```

Calculated values
Calculated total energy (eV per atom): -9.538
Total moment (μB/f.u.): 2.18
Volume (Å³/atom): 13.4